PmTlPd6 | GGA-PBE | optimized geometry

## Properties
Energy of formation from the pure elements, eV per atom: -0.499
V, Å³/atom: 17.73
M_tot, μB per cell: 0.00
VASP energy, eV per atom: -5.28

a b c (Å): 4.143 4.143 8.262
angles (deg): 90.00 90.00 90.00
Space group P4/mmm (No. 123)
Inequivalent atoms, fractional coordinates:
Pm: 0.000 0.000 0.000 [1 per cell]
Tl: 0.000 0.000 0.500 [1 per cell]
Pd: 0.000 0.500 0.257 [4 per cell]
Pd: 0.500 0.500 0.000 [1 per cell]
Pd: 0.500 0.500 0.500 [1 per cell]